Entry 1:
Below is a relaxed AlCuSi2 crystal, with properties calculated at the PBE level.

Computed properties:
Energy = -0.329 Ry/atom
Formation energy from raw total energies = 0.19 eV/atom
Total moment = 0.000 μB/cell

POSCAR file:
```
AlCuSi2
1.0
5.5538 0.0000 0.0000
0.0000 7.4272 0.0000
0.0000 0.0000 5.7215
Al Cu Si
4 4 8
direct
0.0321 0.2500 0.1736 Al
0.4679 0.7500 0.6736 Al
0.5321 0.2500 0.3264 Al
0.9679 0.7500 0.8264 Al
0.1134 0.7500 0.3545 Cu
0.3866 0.2500 0.8545 Cu
0.6135 0.7500 0.1455 Cu
0.8866 0.2500 0.6455 Cu
0.2240 0.0376 0.5337 Si
0.2240 0.4624 0.5337 Si
0.2760 0.5376 0.0337 Si
0.2760 0.9624 0.0337 Si
0.7240 0.0376 0.9663 Si
0.7240 0.4624 0.9663 Si
0.7760 0.5376 0.4663 Si
0.7760 0.9624 0.4663 Si
```

Entry 2:
Below is a relaxed AlCu2Si crystal, with properties calculated at the PBE level.

Computed properties:
Energy = -0.319 Ry/atom
Formation energy from raw total energies = 0.00 eV/atom
Total moment = 0.000 μB/cell

POSCAR file:
```
AlCu2Si
1.0
4.9223 0.0000 0.0000
0.0000 4.1439 0.0000
0.0000 0.0000 5.4094
Al Cu Si
2 4 2
direct
0.2500 0.0000 0.1982 Al
0.7500 0.0000 0.8018 Al
0.0000 0.5000 0.5000 Cu
0.2500 0.0000 0.6664 Cu
0.5000 0.5000 0.5000 Cu
0.7500 0.0000 0.3336 Cu
0.2500 0.5000 0.9001 Si
0.7500 0.5000 0.0999 Si
```

Entry 3:
Below is a relaxed Al4Cu2Si crystal, with properties calculated at the PBE level.

Computed properties:
Energy = -0.298 Ry/atom
Polymorph energy (0 for the lowest one) = 0 meV/atom
Formation energy from raw total energies = 0.02 eV/atom
Total moment = 0.000 μB/cell

POSCAR file:
```
Al4Cu2Si
1.0
7.2699 0.0000 0.0000
0.0000 3.6749 0.0000
-2.4307 0.0000 8.0464
Al Cu Si
8 4 2
direct
0.0146 0.2500 0.3810 Al
0.0856 0.7500 0.1507 Al
0.4047 0.2500 0.0690 Al
0.4057 0.2500 0.3753 Al
0.5943 0.7500 0.6247 Al
0.5953 0.7500 0.9310 Al
0.9144 0.2500 0.8493 Al
0.9854 0.7500 0.6190 Al
0.2063 0.7500 0.8962 Cu
0.2457 0.7500 0.4859 Cu
0.7543 0.2500 0.5141 Cu
0.7937 0.2500 0.1038 Cu
0.3236 0.2500 0.7137 Si
0.6764 0.7500 0.2863 Si
```

Entry 4:
Below is a relaxed AlCu2Si crystal, with properties calculated at the PBE level.

Computed properties:
Energy = -0.315 Ry/atom
Formation energy from raw total energies = 0.05 eV/atom
Total moment = 0.000 μB/cell

POSCAR file:
```
AlCu2Si
1.0
1.4770 -5.9598 0.0000
1.4770 5.9598 0.0000
0.0000 0.0000 6.3062
Al Cu Si
2 4 2
direct
0.2480 0.7520 0.7500 Al
0.7520 0.2480 0.2500 Al
0.1036 0.8964 0.0567 Cu
0.1036 0.8964 0.4433 Cu
0.8964 0.1036 0.5567 Cu
0.8964 0.1036 0.9433 Cu
0.4492 0.5508 0.2500 Si
0.5508 0.4492 0.7500 Si
```

Entry 5:
Below is a relaxed AlCuSi2 crystal, with properties calculated at the PBE level.

Computed properties:
Energy = -0.329 Ry/atom
Formation energy from raw total energies = 0.20 eV/atom
Total moment = 0.000 μB/cell

POSCAR file:
```
AlCuSi2
1.0
8.7921 0.0000 0.0000
0.0000 1.3151 2.4439
0.0000 -1.3151 2.4439
Al Cu Si
1 1 2
direct
0.0000 0.0000 0.0000 Al
0.5000 0.6742 0.6742 Cu
0.2682 0.3431 0.3431 Si
0.7318 0.3431 0.3431 Si
```

Entry 6:
Below is a relaxed AlCu2Si crystal, with properties calculated at the PBE level.

Computed properties:
Energy = -0.321 Ry/atom
Formation energy from raw total energies = -0.03 eV/atom
Total moment = 0.000 μB/cell

POSCAR file:
```
AlCu2Si
1.0
7.9840 0.0000 0.0000
0.0000 5.8389 0.0000
0.0000 0.0000 4.8602
Al Cu Si
4 8 4
direct
0.1016 0.0782 0.0000 Al
0.3984 0.5782 0.5000 Al
0.6016 0.4218 0.0000 Al
0.8984 0.9218 0.5000 Al
0.1109 0.6685 0.2744 Cu
0.1427 0.2591 0.4940 Cu
0.3573 0.7591 0.9940 Cu
0.3891 0.1685 0.7744 Cu
0.6109 0.8315 0.2744 Cu
0.6427 0.2409 0.4940 Cu
0.8573 0.7409 0.9940 Cu
0.8891 0.3315 0.7744 Cu
0.1098 0.6324 0.7621 Si
0.3902 0.1324 0.2621 Si
0.6098 0.8676 0.7621 Si
0.8902 0.3676 0.2621 Si
```